! FeMo3I (meta-GGA SCAN, single point on PBEsol structure); values from VASP
&SYSTEM
  ibrav = 0, nat = 5, ntyp = 3
/
ATOMIC_SPECIES
Mo 95.94 Mo.upf
I 126.90 I.upf
Fe 55.84 Fe.upf
CELL_PARAMETERS angstrom
4.772 0.000 0.000
0.000 4.772 0.000
0.000 0.000 4.772
ATOMIC_POSITIONS crystal
Mo 0.000 0.000 0.500
I 0.000 0.000 0.000
Mo 0.000 0.500 0.000
Fe 0.500 0.500 0.500
Mo 0.500 0.000 0.000
! V, Å³/cell: 108.7
! ρ, Mg/m³: 7.2
! Space group: Pm-3m
! Formation energy from raw total energies, meV/atom: 2426

! Al7Ag (meta-GGA SCAN, single point on PBEsol structure); values from VASP
&SYSTEM
  ibrav = 0, nat = 8, ntyp = 2
/
ATOMIC_SPECIES
Ag 107.87 Ag.upf
Al 26.98 Al.upf
CELL_PARAMETERS angstrom
-5.292 -1.091 1.740
-0.974 -1.408 5.412
-2.663 3.642 3.445
ATOMIC_POSITIONS crystal
Ag 0.000 0.000 0.000
Al 0.500 0.500 0.500
Al 0.500 0.500 0.000
Al 0.000 0.000 0.500
Al 0.500 0.000 0.500
Al 0.000 0.500 0.000
Al 0.500 0.000 0.000
Al 0.000 0.500 0.500
! V, Å³/cell: 129.3
! Excess energy over the best structure of this formula in the dataset, meV/atom: 21
! ρ, Mg/m³: 3.8
! Space group: Fm-3m
! Energy of formation from the pure elements, kJ/mol of atoms: -1

! K4SrRh (meta-GGA SCAN, single point on PBEsol structure); values from VASP
&SYSTEM
  ibrav = 0, nat = 6, ntyp = 3
/
ATOMIC_SPECIES
K 39.10 K.upf
Sr 87.62 Sr.upf
Rh 102.91 Rh.upf
CELL_PARAMETERS angstrom
7.018 0.000 0.000
3.509 6.078 0.000
3.509 2.026 5.730
ATOMIC_POSITIONS crystal
K 0.865 0.378 0.378
K 0.378 0.378 0.378
K 0.378 0.378 0.865
Sr 0.000 0.000 0.000
K 0.378 0.865 0.378
Rh 0.750 0.750 0.750
! V, Å³/cell: 244.4
! ρ, Mg/m³: 2.4
! Space group: F-43m
! Energy of formation from the pure elements, kJ/mol of atoms: 74

! Zn2NiSb (meta-GGA SCAN, single point on PBEsol structure); values from VASP
&SYSTEM
  ibrav = 0, nat = 4, ntyp = 3
/
ATOMIC_SPECIES
Zn 65.41 Zn.upf
Sb 121.76 Sb.upf
Ni 58.69 Ni.upf
CELL_PARAMETERS angstrom
3.657 0.000 0.000
0.000 4.130 -0.035
-1.828 -1.010 4.169
ATOMIC_POSITIONS crystal
Zn 0.759 0.800 0.518
Sb 0.000 0.500 0.000
Ni 0.500 0.000 0.000
Zn 0.241 0.200 0.482
! V, Å³/cell: 62.8
! ρ, Mg/m³: 8.2
! Space group: C2/m
! Formation energy from raw total energies, meV/atom: 94

! SiHg2As (meta-GGA SCAN, single point on PBEsol structure); values from VASP
&SYSTEM
  ibrav = 0, nat = 4, ntyp = 3
/
ATOMIC_SPECIES
Si 28.09 Si.upf
As 74.92 As.upf
Hg 200.59 Hg.upf
CELL_PARAMETERS angstrom
2.961 0.000 0.000
-1.480 2.666 0.000
0.000 0.000 10.170
ATOMIC_POSITIONS crystal
Si 0.500 0.000 0.500
As 0.500 0.000 0.000
Hg 0.000 0.000 0.257
Hg 0.000 0.000 0.743
! V, Å³/cell: 80.3
! Excess energy over the best structure of this formula in the dataset, meV/atom: 370
! ρ, Mg/m³: 10.4
! Space group: Cmmm
! Formation energy from raw total energies, meV/atom: 542

! Na6Fe2C4SO16 (meta-GGA SCAN, single point on PBEsol structure); values from VASP
&SYSTEM
  ibrav = 0, nat = 58, ntyp = 5
/
ATOMIC_SPECIES
O 16.00 O.upf
Fe 55.84 Fe.upf
C 12.01 C.upf
Na 22.99 Na.upf
S 32.06 S.upf
CELL_PARAMETERS angstrom
-7.494 -1.443 -6.180
1.737 -2.732 -9.271
-2.256 -9.093 -2.944
ATOMIC_POSITIONS crystal
O 0.763 0.283 0.023
O 0.562 0.562 0.562
O 0.314 0.562 0.562
O 0.931 0.023 0.283
Fe 0.125 0.125 0.125
C 0.906 0.281 0.906
Na 0.717 0.717 0.283
C 0.344 0.344 0.969
Fe 0.125 0.125 0.625
O 0.283 0.023 0.763
O 0.967 0.487 0.319
Na 0.283 0.283 0.717
O 0.688 0.936 0.688
O 0.562 0.314 0.562
Na 0.717 0.283 0.717
O 0.562 0.562 0.314
O 0.023 0.931 0.763
C 0.281 0.906 0.906
O 0.967 0.227 0.487
O 0.319 0.967 0.487
Fe 0.625 0.125 0.125
C 0.344 0.969 0.344
O 0.763 0.931 0.283
O 0.319 0.487 0.227
O 0.023 0.283 0.931
O 0.319 0.227 0.967
O 0.688 0.688 0.688
C 0.906 0.906 0.281
O 0.931 0.763 0.023
Na 0.967 0.967 0.533
O 0.967 0.319 0.227
C 0.906 0.906 0.906
Na 0.717 0.283 0.283
Na 0.967 0.533 0.967
O 0.227 0.319 0.487
C 0.969 0.344 0.344
S 0.750 0.750 0.750
O 0.487 0.319 0.967
Na 0.533 0.967 0.533
O 0.283 0.931 0.023
O 0.936 0.688 0.688
Na 0.967 0.533 0.533
Fe 0.125 0.625 0.125
O 0.487 0.227 0.319
O 0.227 0.487 0.967
O 0.023 0.763 0.283
S 0.500 0.500 0.500
Na 0.533 0.967 0.967
O 0.227 0.967 0.319
O 0.487 0.967 0.227
O 0.688 0.688 0.936
Na 0.533 0.533 0.967
O 0.763 0.023 0.931
O 0.283 0.763 0.931
Na 0.283 0.717 0.717
O 0.931 0.283 0.763
Na 0.283 0.717 0.283
C 0.344 0.344 0.344
! V, Å³/cell: 669.7
! ρ, Mg/m³: 2.9
! Space group: Fd-3
! Formation energy from raw total energies, meV/atom: -1787

ρ of number 4 (Zn2NiSb)?
8.2 Mg/m³